(1)
Here is an optimized crystal structure of La2AlGa4Ag3 from the Alexandria database. Energies are from PBE.

Values from the calculation:
As for the energy of formation from the pure elements: -422.8 kJ/mol of formula units. As for the size of the total moment: 0.00 μB per cell.

Unit cell a=4.380 b=4.380 c=11.129 alpha=90.00 beta=90.00 gamma=90.00
Fractional positions:
La: 0.500 0.000 0.251
La: 0.000 0.500 0.749
Ga: 0.000 0.000 0.000
Ga: 0.500 0.500 0.000
Ga: 0.000 0.500 0.364
Ga: 0.500 0.000 0.636
Ag: 0.500 0.000 0.866
Ag: 0.000 0.000 0.500
Ag: 0.000 0.500 0.134
Al: 0.500 0.500 0.500

***

(2)
Here is an optimized crystal structure of Tm2Co2Si from the Alexandria database. Energies are from PBE.

Values from the calculation:
The value obtained for the formation energy without anion corrections is -0.57 eV/atom. As for the size of the total moment: 0.00 μB per cell.

Unit cell a=5.274 b=5.274 c=7.227 alpha=78.87 beta=78.87 gamma=60.41
Fractional positions:
Tm: 0.213 0.488 0.648
Tm: 0.512 0.787 0.852
Tm: 0.787 0.512 0.352
Tm: 0.488 0.213 0.148
Si: 0.121 0.879 0.250
Si: 0.879 0.121 0.750
Co: 0.996 0.267 0.997
Co: 0.733 0.004 0.503
Co: 0.004 0.733 0.003
Co: 0.267 0.996 0.497

***

(3)
Here is an optimized crystal structure of Tc3AgN from the Alexandria database. Energies are from PBE.

Values from the calculation:
The value obtained for the formation energy without anion corrections is 0.24 eV/atom. As for the size of the total moment: 0.00 μB per cell. Its energy above the most stable polymorph in this dataset is 0.000 eV/atom.

Unit cell a=4.079 b=4.079 c=4.079 alpha=90.00 beta=90.00 gamma=90.00
Fractional positions:
Tc: 0.000 0.500 0.000
Tc: 0.000 0.000 0.500
Tc: 0.500 0.000 0.000
N: 0.000 0.000 0.000
Ag: 0.500 0.500 0.500

***

(4)
Here is an optimized crystal structure of KSb2As from the Alexandria database. Energies are from PBE.

Values from the calculation:
The value obtained for the formation energy without anion corrections is -0.02 eV/atom. As for the size of the total moment: 0.00 μB per cell.

Unit cell a=8.233 b=8.233 c=7.236 alpha=55.33 beta=55.33 gamma=90.00
Fractional positions:
Sb: 0.714 0.125 0.250
Sb: 0.875 0.964 0.750
Sb: 0.375 0.286 0.750
Sb: 0.036 0.625 0.250
As: 0.750 0.250 0.500
As: 0.000 0.000 0.000
K: 0.250 0.750 0.500
K: 0.500 0.500 0.000